Record 1
Compound: Ho3Ga2Sn2
Source: Alexandria via LeMat-Bulk
Functional: PBE
Structure: relaxed

Unit cell a=4.2404 b=4.3425 c=18.7892 alpha=90.00 beta=90.00 gamma=90.00
Space group Immm (No. 71)
One atom of each set of equivalent atoms:
Ho 0.0000 0.0000 0.0000 x2
Ho 0.0000 0.5000 0.3177 x4
Ga 0.0000 0.0000 0.4362 x4
Sn 0.0000 0.5000 0.1516 x4

As for the formation energy: -0.6263 eV per atom.

Record 2
Compound: CsPuHgI6
Source: Alexandria via LeMat-Bulk
Functional: PBE
Structure: relaxed

Unit cell a=8.0941 b=8.0941 c=8.3807 alpha=90.00 beta=90.00 gamma=120.00
Space group P312 (No. 149)
One atom of each set of equivalent atoms:
Cs 0.0000 0.0000 0.0000 x1
Pu 0.6667 0.3333 0.5000 x1
Hg 0.3333 0.6667 0.5000 x1
I 0.0010 0.3802 0.2873 x6

The uncorrected formation energy is -0.885 eV per atom.